# 1
An optimized crystal structure of SmY12Sc2. Source: the Alexandria database, functional PBE.

Results
ΔH_f (0 K)   126 meV per atom

```
data_SmY12Sc2
_cell_length_a 3.600
_cell_length_b 55.700
_cell_length_c 4.813
_cell_angle_alpha 90.00
_cell_angle_beta 90.00
_cell_angle_gamma 90.00
_symmetry_space_group_name_H-M 'C m m m'
_symmetry_Int_Tables_number 65
_symmetry_space_group_name_Hall '-C 2 2'
loop_
_atom_site_label
_atom_site_type_symbol
_atom_site_fract_x
_atom_site_fract_y
_atom_site_fract_z
Sm1 Sm 0.000 0.000 0.000
Y1 Y 0.000 0.066 0.000
Y2 Y 0.000 0.191 0.000
Y3 Y 0.000 0.276 0.500
Y4 Y 0.000 0.340 0.500
Y5 Y 0.000 0.401 0.500
Y6 Y 0.000 0.467 0.500
Sc1 Sc 0.000 0.129 0.000
```

---

# 2
An optimized crystal structure of Tm4HgPd2. Source: the Alexandria database, functional PBE.

Results
Offset from the most stable computed form   0 meV per atom
ΔH_f (0 K)   -613 meV per atom

```
data_Tm4HgPd2
_cell_length_a 4.9311
_cell_length_b 4.9311
_cell_length_c 24.3279
_cell_angle_alpha 90.00
_cell_angle_beta 90.00
_cell_angle_gamma 120.00
_symmetry_space_group_name_H-M 'R -3 m'
_symmetry_Int_Tables_number 166
_symmetry_space_group_name_Hall '-R 3 2"'
loop_
_atom_site_label
_atom_site_type_symbol
_atom_site_fract_x
_atom_site_fract_y
_atom_site_fract_z
Tm1 Tm 0.0000 0.0000 0.1190
Tm2 Tm 0.0000 0.0000 0.3713
Hg1 Hg 0.0000 0.0000 0.5000
Pd1 Pd 0.0000 0.0000 0.2530
```

---

# 3
An optimized crystal structure of Tl4SbW. Source: the Alexandria database, functional PBE.

Results
ΔE_f (raw)   1.101 eV per atom

```
data_Tl4SbW
_cell_length_a 8.874
_cell_length_b 8.874
_cell_length_c 8.874
_cell_angle_alpha 90.00
_cell_angle_beta 90.00
_cell_angle_gamma 90.00
_symmetry_space_group_name_H-M 'F -4 3 m'
_symmetry_Int_Tables_number 216
_symmetry_space_group_name_Hall 'F -4 2 3'
loop_
_atom_site_label
_atom_site_type_symbol
_atom_site_fract_x
_atom_site_fract_y
_atom_site_fract_z
Tl1 Tl 0.125 0.125 0.125
Sb1 Sb 0.250 0.250 0.750
W1 W 0.000 0.000 0.500
```

---

# 4
An optimized crystal structure of BaZn2Fe. Source: the Alexandria database, functional PBE.

Results
ΔH_f (0 K)   321 meV per atom

```
data_BaZn2Fe
_cell_length_a 3.456
_cell_length_b 3.482
_cell_length_c 7.399
_cell_angle_alpha 90.00
_cell_angle_beta 90.00
_cell_angle_gamma 90.00
_symmetry_space_group_name_H-M 'P m m 2'
_symmetry_Int_Tables_number 25
loop_
_symmetry_equiv_pos_as_xyz
'x,y,z'
'-x,-y,z'
'-x,y,z'
'x,-y,z'
loop_
_atom_site_label
_atom_site_type_symbol
_atom_site_fract_x
_atom_site_fract_y
_atom_site_fract_z
Ba1 Ba 0.000 0.000 0.000
Zn1 Zn 0.000 0.000 0.559
Zn2 Zn 0.500 0.500 0.335
Fe1 Fe 0.500 0.500 0.666
```

---

| no. | electronic total energy (eV for the cell shown) | total magnetic moment (μB/cell) |
| --- | --- | --- |
| 1 | -186.12 | 0.0 |
| 2 | -98.59 | 0.0 |
| 3 | -79.73 | 15.6 |
| 4 | -11.65 | 2.0 |